Record 1
Here is a relaxed structure of Hf2Cu2As from Alexandria. Energies are from PBE.

Output
The formation energy comes out at 1.151 eV per formula unit. Its distance to the lowest polymorph of the same formula is 501.5 meV per atom.

```
data_Hf2Cu2As
_chemical_formula_sum 'Hf4 Cu4 As2'
_cell_length_a 4.4005
_cell_length_b 4.4005
_cell_length_c 10.0035
_cell_angle_alpha 90.00
_cell_angle_beta 90.00
_cell_angle_gamma 90.00
_symmetry_space_group_name_H-M 'I 4/m m m'
_symmetry_Int_Tables_number 139
_symmetry_space_group_name_Hall '-I 4 2'
loop_
_atom_site_label
_atom_site_fract_x
_atom_site_fract_y
_atom_site_fract_z
Hf1 0.0000 0.5000 0.2500
Cu1 0.0000 0.0000 0.1098
As1 0.0000 0.0000 0.5000
```

Record 2
Here is a relaxed structure of Hf2CuAs2 from Alexandria. Energies are from PBE.

Output
The formation energy comes out at -2.827 eV per formula unit.

```
data_Hf2CuAs2
_chemical_formula_sum 'Hf4 Cu2 As4'
_cell_length_a 7.1416
_cell_length_b 7.1416
_cell_length_c 3.5423
_cell_angle_alpha 90.00
_cell_angle_beta 90.00
_cell_angle_gamma 90.00
_symmetry_space_group_name_H-M 'P 4/m b m'
_symmetry_Int_Tables_number 127
_symmetry_space_group_name_Hall '-P 4 2ab'
loop_
_atom_site_label
_atom_site_fract_x
_atom_site_fract_y
_atom_site_fract_z
Hf1 0.1506 0.3494 0.0000
Cu1 0.0000 0.0000 0.5000
As1 0.1508 0.6508 0.5000
```

Record 3
Here is a relaxed structure of HfCuAs2 from Alexandria. Energies are from PBE.

Output
The formation energy comes out at -1.091 eV per formula unit.

```
data_HfCuAs2
_chemical_formula_sum 'Hf3 Cu3 As6'
_cell_length_a 3.8446
_cell_length_b 3.8446
_cell_length_c 17.7460
_cell_angle_alpha 90.00
_cell_angle_beta 90.00
_cell_angle_gamma 120.00
_symmetry_space_group_name_H-M 'R -3 m'
_symmetry_Int_Tables_number 166
_symmetry_space_group_name_Hall '-R 3 2"'
loop_
_atom_site_label
_atom_site_fract_x
_atom_site_fract_y
_atom_site_fract_z
Hf1 0.0000 0.0000 0.0000
Cu1 0.0000 0.0000 0.5000
As1 0.0000 0.0000 0.2447
```

Record 4
Here is a relaxed structure of HfCuAs2 from Alexandria. Energies are from PBE.

Output
The formation energy comes out at -0.848 eV per formula unit.

```
data_HfCuAs2
_chemical_formula_sum 'Hf4 Cu4 As8'
_cell_length_a 6.8849
_cell_length_b 6.8849
_cell_length_c 6.1158
_cell_angle_alpha 90.00
_cell_angle_beta 90.00
_cell_angle_gamma 90.00
_symmetry_space_group_name_H-M 'I -4 2 d'
_symmetry_Int_Tables_number 122
_symmetry_space_group_name_Hall 'I -4 2bw'
loop_
_atom_site_label
_atom_site_fract_x
_atom_site_fract_y
_atom_site_fract_z
Hf1 0.0000 0.0000 0.0000
Cu1 0.0000 0.0000 0.5000
As1 0.2126 0.2500 0.6250
```

no.,uncorrected energy (eV per atom),volume (Å³/cell)
1,-6.320,193.7
2,-7.226,180.7
3,-6.110,227.2
4,-6.049,289.9